No. 1
Sc4CuNi2Ir: relaxed, PBE.

The energy of formation is -0.600 eV/atom. The value obtained for the total energy is -6.83 eV per atom.

The structure belongs to space group R-3m (No. 166, hexagonal axes); the cell edges are 4.5368, 4.5368 and 22.3159 Å and the angles 90.00°, 90.00° and 120.00°. The inequivalent atoms are Sc at (0.0000, 0.0000, 0.1239), Sc at (0.0000, 0.0000, 0.3745), Cu at (0.0000, 0.0000, 0.5000), Ni at (0.0000, 0.0000, 0.2511) and Ir at (0.0000, 0.0000, 0.0000).

***

No. 2
Tb8PmTm6: relaxed, PBE.

The energy of formation is 0.136 eV/atom. The value obtained for the total energy is -4.44 eV per atom.

The structure belongs to space group R-3 (No. 148, hexagonal axes); the cell edges are 8.9695, 8.9695 and 20.5482 Å and the angles 90.00°, 90.00° and 120.00°. The inequivalent atoms are Tb at (0.0000, 0.0000, 0.0768), Tb at (0.0812, 0.5266, 0.3077), Pm at (0.0000, 0.0000, 0.5000) and Tm at (0.0536, 0.8097, 0.2063).

***

No. 3
NaBS2F: relaxed, PBE.

As for the energy relative to the elements, uncorrected: 0.951 eV/atom. The value obtained for the total energy is -2.67 eV per atom.

The structure belongs to space group P4/mmm (No. 123); the cell edges are 5.201, 5.201 and 3.980 Å and the angles 90.00°, 90.00° and 90.00°. The inequivalent atoms are Na at (0.000, 0.000, 0.000), B at (0.500, 0.500, 0.500), S at (0.000, 0.500, 0.000) and F at (0.000, 0.000, 0.500).